1.
Computed, not measured: a geometry-optimized ReSb2P structure at the GGA-PBE level of DFT.

Cell lengths 3.2850, 3.2850, 7.1061 Å; angles 90.00, 90.00, 90.00 degrees
With the nearest neighbours (Å) after each atom.
Space group P4/mmm (No. 123)
Asymmetric unit:
Re 0.0000 0.0000 0.0000 [1 per cell]  8 Sb 2.85
Sb 0.5000 0.5000 0.2333 [2 per cell]  4 Re 2.85, 4 P 3.00
P 0.0000 0.0000 0.5000 [1 per cell]  8 Sb 3.00, 4 P 3.29

Calculated values
Formation energy without anion corrections: 0.531 eV per atom
VASP energy: -5.995 eV per atom

***

2.
Computed, not measured: a geometry-optimized ReSb2P structure at the GGA-PBE level of DFT.

Cell lengths 3.2224, 5.2936, 9.9729 Å; angles 90.00, 90.00, 90.00 degrees
With the nearest neighbours (Å) after each atom.
Space group Cmm2 (No. 35)
Asymmetric unit:
Re 0.0000 0.0000 0.0000 [2 per cell]  2 P 2.30
Sb 0.0000 0.0000 0.5494 [2 per cell]  8 Sb 3.10-3.46, 2 P 3.28
Sb 0.0000 0.5000 0.2426 [2 per cell]  2 Re 2.91, 6 Sb 3.10-3.22
P 0.0000 0.5000 0.8358 [2 per cell]  2 Re 2.30

Calculated values
Formation energy without anion corrections: 0.473 eV per atom
VASP energy: -6.053 eV per atom

***

3.
Computed, not measured: a geometry-optimized ReSbP structure at the GGA-PBE level of DFT.

Cell lengths 4.2441, 4.2441, 3.3729 Å; angles 90.00, 90.00, 120.00 degrees
With the nearest neighbours (Å) after each atom.
Space group P-6m2 (No. 187)
Asymmetric unit:
Re 0.0000 0.0000 0.0000 [1 per cell]  3 P 2.45
Sb 0.3333 0.6667 0.5000 [1 per cell]  6 Re 2.97, 6 P 2.97
P 0.6667 0.3333 0.0000 [1 per cell]  3 Re 2.45

Calculated values
Excess energy over the best structure of this formula in the dataset: 424 meV per atom
Formation energy without anion corrections: 0.401 eV per atom
VASP energy: -6.925 eV per atom

***

4.
Computed, not measured: a geometry-optimized ReSb2P structure at the GGA-PBE level of DFT.

Cell lengths 6.7334, 6.7334, 6.7334 Å; angles 90.00, 90.00, 90.00 degrees
With the nearest neighbours (Å) after each atom.
Space group F-43m (No. 216)
Asymmetric unit:
Re 0.0000 0.0000 0.0000 [4 per cell]  4 Sb 2.92, 4 P 2.92
Sb 0.0000 0.0000 0.5000 [4 per cell]  4 Sb 2.92, 4 P 2.92
Sb 0.2500 0.2500 0.7500 [4 per cell]  4 Re 2.92, 4 Sb 2.92
P 0.2500 0.2500 0.2500 [4 per cell]  4 Re 2.92, 4 Sb 2.92

Calculated values
Formation energy without anion corrections: 0.803 eV per atom
VASP energy: -5.723 eV per atom

***

5.
Computed, not measured: a geometry-optimized ReSb2P structure at the GGA-PBE level of DFT.

Cell lengths 6.1328, 7.5734, 3.2764 Å; angles 90.00, 90.00, 90.00 degrees
With the nearest neighbours (Å) after each atom.
Space group Cmmm (No. 65)
Asymmetric unit:
Re 0.0000 0.0000 0.0000 [2 per cell]  8 Sb 2.94, 2 P 3.07, 2 Re 3.28
Sb 0.2500 0.2500 0.5000 [4 per cell]  4 Re 2.94, 4 P 2.94, 4 Sb 3.07-3.28
P 0.0000 0.5000 0.0000 [2 per cell]  8 Sb 2.94, 2 Re 3.07, 2 P 3.28

Calculated values
Formation energy without anion corrections: 0.803 eV per atom
VASP energy: -5.723 eV per atom

***

6.
Computed, not measured: a geometry-optimized ReSb2P structure at the GGA-PBE level of DFT.

Cell lengths 6.1117, 6.1117, 11.7390 Å; angles 90.00, 90.00, 90.00 degrees
With the nearest neighbours (Å) after each atom.
Space group I-42d (No. 122)
Asymmetric unit:
Re 0.0000 0.0000 0.0000 [4 per cell]  4 Sb 2.57
Sb 0.2389 0.2500 0.1250 [8 per cell]  2 Re 2.57, 2 P 2.65
P 0.0000 0.0000 0.5000 [4 per cell]  4 Sb 2.65

Calculated values
Formation energy without anion corrections: 0.753 eV per atom
VASP energy: -5.773 eV per atom

***

7.
Computed, not measured: a geometry-optimized ReSbP structure at the GGA-PBE level of DFT.

Cell lengths 6.3035, 6.4460, 6.1886 Å; angles 90.00, 109.98, 90.00 degrees
With the nearest neighbours (Å) after each atom.
Space group P2_1/c (No. 14)
Asymmetric unit:
Re 0.1929 0.0036 0.1873 [4 per cell]  3 P 2.33-2.36
Sb 0.3604 0.6126 0.1599 [4 per cell]  1 P 2.73, 3 Re 2.74-2.85
P 0.1442 0.1703 0.8390 [4 per cell]  3 Re 2.33-2.36

Calculated values
Excess energy over the best structure of this formula in the dataset: 0 meV per atom
Formation energy without anion corrections: -0.022 eV per atom
VASP energy: -7.349 eV per atom

***

8.
Computed, not measured: a geometry-optimized Re2SbP structure at the GGA-PBE level of DFT.

Cell lengths 2.9898, 4.9064, 8.8910 Å; angles 90.00, 90.00, 90.00 degrees
With the nearest neighbours (Å) after each atom.
Space group Immm (No. 71)
Asymmetric unit:
Re 0.0000 0.0000 0.2110 [4 per cell]  2 P 2.40
Sb 0.0000 0.5000 0.0000 [2 per cell]  4 P 2.87, 8 Re 2.97-3.09, 2 Sb 2.99
P 0.0000 0.5000 0.5000 [2 per cell]  4 Re 2.40

Calculated values
Excess energy over the best structure of this formula in the dataset: 432 meV per atom
Formation energy without anion corrections: 0.552 eV per atom
VASP energy: -8.055 eV per atom